No. 1
Entry from Alexandria: a geometry-optimized LiCa2TlNi structure (PBE).

## Properties
total magnetization: 0.0 μB/f.u.
E above lowest polymorph: 42 meV/atom
VASP energy: -14.2 eV for the cell shown
density of states at the Fermi level: 3.502 states/eV/cell
energy relative to the elements: -0.032 eV per atom

Structure (extended XYZ):
```
5
Lattice="5.389 0.000 0.000 0.000 5.389 0.000 0.000 0.000 4.708" Properties=species:S:1:pos:R:3 pbc="T T T"
Li 0.000 0.000 0.000
Ca 0.000 2.695 2.354
Ca 2.695 0.000 2.354
Tl 2.695 2.695 0.000
Ni 0.000 0.000 2.354
```


No. 2
Entry from Alexandria: a geometry-optimized Li2CaCu10 structure (PBE).

## Properties
total magnetization: 0.0 μB/f.u.
VASP energy: -47.0 eV for the cell shown
density of states at the Fermi level: 3.991 states/eV/cell
energy relative to the elements: -0.012 eV per atom

Structure (extended XYZ):
```
13
Lattice="0.000 6.050 6.163 2.377 0.000 6.163 2.377 6.050 0.000" Properties=species:S:1:pos:R:3 pbc="T T T"
Li 1.188 0.000 3.081
Li 1.188 6.050 3.081
Ca 0.000 0.000 0.000
Cu 1.188 3.025 0.000
Cu 2.377 2.215 3.990
Cu 2.377 4.695 4.748
Cu 2.377 2.215 8.335
Cu 2.377 7.406 4.748
Cu 1.188 3.025 6.163
Cu 2.377 4.695 7.577
Cu 2.377 9.885 3.990
Cu 2.377 7.406 7.577
Cu 2.377 9.885 8.335
```


No. 3
Entry from Alexandria: a geometry-optimized Pr3NdSn4 structure (PBE).

## Properties
total magnetization: 0.0 μB/f.u.
VASP energy: -79.5 eV for the cell shown
density of states at the Fermi level: 10.003 states/eV/cell
energy relative to the elements: -0.576 eV per atom

Structure (extended XYZ):
```
16
Lattice="3.786 0.000 0.000 0.000 7.295 0.000 0.000 0.000 18.461" Properties=species:S:1:pos:R:3 pbc="T T T"
Pr 0.000 0.000 0.000
Pr 0.000 3.648 3.914
Pr 0.000 3.648 14.547
Pr 1.893 0.000 5.317
Pr 1.893 0.000 13.144
Pr 1.893 3.648 9.230
Nd 0.000 0.000 9.230
Nd 1.893 3.648 0.000
Sn 0.000 2.148 6.856
Sn 0.000 2.148 11.605
Sn 0.000 5.148 6.856
Sn 0.000 5.148 11.605
Sn 1.893 1.500 2.375
Sn 1.893 1.500 16.086
Sn 1.893 5.795 2.375
Sn 1.893 5.795 16.086
```